[1]
! LaZrCuNi (PBE-GGA, optimized geometry); values from VASP
&SYSTEM
  ibrav = 0, nat = 4, ntyp = 4
/
ATOMIC_SPECIES
La 138.91 La.upf
Zr 91.22 Zr.upf
Cu 63.55 Cu.upf
Ni 58.69 Ni.upf
CELL_PARAMETERS angstrom
0.000 3.416 3.416
3.416 0.000 3.416
3.416 3.416 0.000
ATOMIC_POSITIONS angstrom
La 0.000 0.000 0.000
Zr 3.416 3.416 3.416
Cu 5.124 5.124 5.124
Ni 1.708 1.708 1.708
! Relative energy among the computed polymorphs, meV/atom: 0
! Symmetry: No. 216
! Calculated formation energy, meV per atom: -49.0


[2]
! LaZrCuNi (PBE-GGA, optimized geometry); values from VASP
&SYSTEM
  ibrav = 0, nat = 4, ntyp = 4
/
ATOMIC_SPECIES
La 138.91 La.upf
Zr 91.22 Zr.upf
Cu 63.55 Cu.upf
Ni 58.69 Ni.upf
CELL_PARAMETERS angstrom
0.000 3.292 3.292
3.292 0.000 3.292
3.292 3.292 0.000
ATOMIC_POSITIONS angstrom
La 0.000 0.000 0.000
Zr 1.646 1.646 1.646
Cu 3.292 3.292 3.292
Ni 4.937 4.937 4.937
! Relative energy among the computed polymorphs, meV/atom: 146
! Symmetry: No. 216
! Calculated formation energy, meV per atom: 97.0


[3]
! LaZrCuNi (PBE-GGA, optimized geometry); values from VASP
&SYSTEM
  ibrav = 0, nat = 4, ntyp = 4
/
ATOMIC_SPECIES
La 138.91 La.upf
Zr 91.22 Zr.upf
Cu 63.55 Cu.upf
Ni 58.69 Ni.upf
CELL_PARAMETERS angstrom
0.000 3.307 3.307
3.307 0.000 3.307
3.307 3.307 0.000
ATOMIC_POSITIONS angstrom
La 0.000 0.000 0.000
Zr 4.961 4.961 4.961
Cu 1.654 1.654 1.654
Ni 3.307 3.307 3.307
! Relative energy among the computed polymorphs, meV/atom: 137
! Symmetry: No. 216
! Calculated formation energy, meV per atom: 87.9


[4]
! LaNpCu (PBE-GGA, optimized geometry); values from VASP
&SYSTEM
  ibrav = 0, nat = 3, ntyp = 3
/
ATOMIC_SPECIES
La 138.91 La.upf
Np 237.00 Np.upf
Cu 63.55 Cu.upf
CELL_PARAMETERS angstrom
0.000 3.431 3.431
3.431 0.000 3.431
3.431 3.431 0.000
ATOMIC_POSITIONS angstrom
La 0.000 0.000 0.000
Np 3.431 3.431 3.431
Cu 1.716 1.716 1.716
! Relative energy among the computed polymorphs, meV/atom: 0
! Symmetry: No. 216
! Calculated formation energy, meV per atom: 529.6


[5]
! LaCuSi2Os (PBE-GGA, optimized geometry); values from VASP
&SYSTEM
  ibrav = 0, nat = 5, ntyp = 4
/
ATOMIC_SPECIES
La 138.91 La.upf
Cu 63.55 Cu.upf
Si 28.09 Si.upf
Os 190.23 Os.upf
CELL_PARAMETERS angstrom
-2.061 2.061 5.166
2.061 -2.061 5.166
2.061 2.061 -5.166
ATOMIC_POSITIONS angstrom
La 0.000 0.000 0.000
Cu 2.061 0.000 2.583
Si 0.000 0.000 3.857
Si 0.000 0.000 6.476
Os 0.000 2.061 2.583
! Symmetry: No. 119
! VASP energy, eV/cell: -33.38


[6]
! La3Cu3P4 (PBE-GGA, optimized geometry); values from VASP
&SYSTEM
  ibrav = 0, nat = 20, ntyp = 3
/
ATOMIC_SPECIES
La 138.91 La.upf
Cu 63.55 Cu.upf
P 30.97 P.upf
CELL_PARAMETERS angstrom
-4.609 4.609 4.609
4.609 -4.609 4.609
4.609 4.609 -4.609
ATOMIC_POSITIONS angstrom
La 4.609 -2.305 3.457
La 3.457 4.609 -2.305
La 4.609 2.305 1.152
La 2.305 1.152 4.609
La 1.152 4.609 2.305
La -2.305 3.457 4.609
Cu 6.914 1.152 0.000
Cu 3.457 0.000 2.305
Cu 2.305 3.457 0.000
Cu 0.000 2.305 3.457
Cu 1.152 0.000 6.914
Cu 0.000 6.914 1.152
P 2.991 1.618 -1.618
P 5.295 -0.686 0.686
P 1.618 -1.618 2.991
P 1.618 1.618 1.618
P -1.618 2.991 1.618
P 0.686 5.295 -0.686
P -0.686 0.686 5.295
P 3.923 3.923 3.923
! Symmetry: No. 220
! VASP energy, eV/cell: -112.48


[7]
! La3Cu4P4 (PBE-GGA, optimized geometry); values from VASP
&SYSTEM
  ibrav = 0, nat = 11, ntyp = 3
/
ATOMIC_SPECIES
La 138.91 La.upf
Cu 63.55 Cu.upf
P 30.97 P.upf
CELL_PARAMETERS angstrom
-2.027 2.074 11.844
2.027 -2.074 11.844
2.027 2.074 -11.844
ATOMIC_POSITIONS angstrom
La 0.000 0.000 0.000
La 2.027 0.000 3.496
La 0.000 2.074 8.347
Cu 0.000 0.000 5.916
Cu 2.027 0.000 9.549
Cu 0.000 2.074 2.295
Cu 0.000 0.000 17.772
P 2.027 0.000 7.236
P 0.000 0.000 10.663
P 0.000 0.000 13.025
P 0.000 2.074 4.608
! Symmetry: No. 71
! VASP energy, eV/cell: -60.86


[8]
! LaCu4P3 (PBE-GGA, optimized geometry); values from VASP
&SYSTEM
  ibrav = 0, nat = 16, ntyp = 3
/
ATOMIC_SPECIES
La 138.91 La.upf
Cu 63.55 Cu.upf
P 30.97 P.upf
CELL_PARAMETERS angstrom
5.791 0.000 0.000
0.000 5.791 0.000
0.000 0.000 7.361
ATOMIC_POSITIONS angstrom
La 1.448 1.448 0.147
La 4.343 4.343 7.214
Cu 0.100 0.100 4.952
Cu 0.100 2.795 4.952
Cu 2.795 0.100 4.952
Cu 2.795 2.795 4.952
Cu 2.996 2.996 2.409
Cu 2.996 5.690 2.409
Cu 5.690 2.996 2.409
Cu 5.690 5.690 2.409
P 1.448 1.448 3.500
P 1.448 4.343 1.131
P 1.448 4.343 6.230
P 4.343 1.448 1.131
P 4.343 1.448 6.230
P 4.343 4.343 3.861
! Symmetry: No. 129
! VASP energy, eV/cell: -79.96


[9]
! LaCuP2Pd (PBE-GGA, optimized geometry); values from VASP
&SYSTEM
  ibrav = 0, nat = 5, ntyp = 4
/
ATOMIC_SPECIES
La 138.91 La.upf
Cu 63.55 Cu.upf
P 30.97 P.upf
Pd 106.42 Pd.upf
CELL_PARAMETERS angstrom
-2.075 2.075 5.025
2.075 -2.075 5.025
2.075 2.075 -5.025
ATOMIC_POSITIONS angstrom
La 0.000 0.000 0.000
Cu 2.075 0.000 2.512
P 0.000 0.000 3.859
P 0.000 0.000 6.191
Pd 0.000 2.075 2.512
! Symmetry: No. 119
! VASP energy, eV/cell: -28.91


[10]
! LaPrCu2P4 (PBE-GGA, optimized geometry); values from VASP
&SYSTEM
  ibrav = 0, nat = 8, ntyp = 4
/
ATOMIC_SPECIES
La 138.91 La.upf
Pr 140.91 Pr.upf
Cu 63.55 Cu.upf
P 30.97 P.upf
CELL_PARAMETERS angstrom
3.821 0.000 0.000
0.000 3.821 0.000
0.000 0.000 10.147
ATOMIC_POSITIONS angstrom
La 0.000 0.000 0.000
Pr 1.910 1.910 5.383
Cu 0.000 1.910 2.718
Cu 1.910 0.000 2.718
P 0.000 0.000 4.156
P 0.000 1.910 7.747
P 1.910 0.000 7.747
P 1.910 1.910 1.286
! Symmetry: No. 99
! VASP energy, eV/cell: -45.58


[11]
! La3Cu4P4S2 (PBE-GGA, optimized geometry); values from VASP
&SYSTEM
  ibrav = 0, nat = 13, ntyp = 4
/
ATOMIC_SPECIES
La 138.91 La.upf
Cu 63.55 Cu.upf
P 30.97 P.upf
S 32.06 S.upf
CELL_PARAMETERS angstrom
-2.043 2.043 14.212
2.043 -2.043 14.212
2.043 2.043 -14.212
ATOMIC_POSITIONS angstrom
La 0.000 0.000 0.000
La 0.000 0.000 9.110
La 0.000 0.000 19.314
Cu 2.043 0.000 2.478
Cu 2.043 0.000 11.734
Cu 0.000 2.043 2.478
Cu 0.000 2.043 11.734
P 0.000 0.000 3.754
P 0.000 0.000 13.071
P 0.000 0.000 15.353
P 0.000 0.000 24.670
S 2.043 0.000 7.106
S 0.000 2.043 7.106
! Symmetry: No. 139
! VASP energy, eV/cell: -71.64


[12]
! La3Cu4P4Se2 (PBE-GGA, optimized geometry); values from VASP
&SYSTEM
  ibrav = 0, nat = 13, ntyp = 4
/
ATOMIC_SPECIES
La 138.91 La.upf
Cu 63.55 Cu.upf
P 30.97 P.upf
Se 78.96 Se.upf
CELL_PARAMETERS angstrom
-2.006 2.006 15.198
2.006 -2.006 15.198
2.006 2.006 -15.198
ATOMIC_POSITIONS angstrom
La 0.000 0.000 0.000
La 0.000 0.000 10.012
La 0.000 0.000 20.384
Cu 2.006 0.000 2.655
Cu 2.006 0.000 12.543
Cu 0.000 2.006 2.655
Cu 0.000 2.006 12.543
P 0.000 0.000 4.072
P 0.000 0.000 13.809
P 0.000 0.000 16.588
P 0.000 0.000 26.324
Se 2.006 0.000 7.599
Se 0.000 2.006 7.599
! Symmetry: No. 139
! VASP energy, eV/cell: -70.12